! YTlCr2 PBE optimized geometry; values from VASP
! offset from the most stable computed form	0.2931	eV per atom
! E_tot	-6.494	eV/atom
! space group	P4/mmm, No. 123
! N(E_F)	2.9	states/eV per cell
! ΔE_f	202.8	kJ/mol of formula units
&SYSTEM
  ibrav = 0, nat = 4, ntyp = 3
/
ATOMIC_SPECIES
Y 88.91 Y.upf
Tl 204.38 Tl.upf
Cr 52.00 Cr.upf
ATOMIC_POSITIONS angstrom
Y 0.0000 0.0000 0.0000
Tl 0.0000 0.0000 3.2487
Cr 1.8325 1.8325 1.7216
Cr 1.8325 1.8325 4.7759
CELL_PARAMETERS angstrom
3.6650 0.0000 0.0000
0.0000 3.6650 0.0000
0.0000 0.0000 6.4975

=====

! TiMnAl3 PBE optimized geometry; values from VASP
! offset from the most stable computed form	0.1301	eV per atom
! E_tot	-5.794	eV/atom
! space group	Pnma, No. 62
! N(E_F)	14.3	states/eV per cell
! ΔE_f	-65.3	kJ/mol of formula units
&SYSTEM
  ibrav = 0, nat = 20, ntyp = 3
/
ATOMIC_SPECIES
Ti 47.87 Ti.upf
Mn 54.94 Mn.upf
Al 26.98 Al.upf
ATOMIC_POSITIONS angstrom
Ti 1.1293 2.2542 0.5062
Ti 2.5098 6.7626 2.7895
Ti 4.7684 2.2542 1.7770
Ti 6.1489 6.7626 4.0603
Mn 0.0000 0.0000 2.2833
Mn 0.0000 4.5084 2.2833
Mn 3.6391 0.0000 0.0000
Mn 3.6391 4.5084 0.0000
Al 0.0339 6.7626 1.8037
Al 1.2189 5.1144 0.0339
Al 1.2189 8.4108 0.0339
Al 2.4202 0.6060 2.3172
Al 2.4202 3.9024 2.3172
Al 3.6052 2.2542 4.0870
Al 3.6730 6.7626 0.4795
Al 4.8580 5.1144 2.2493
Al 4.8580 8.4108 2.2493
Al 6.0593 0.6060 4.5326
Al 6.0593 3.9024 4.5326
Al 7.2443 2.2542 2.7628
CELL_PARAMETERS angstrom
7.2782 0.0000 0.0000
0.0000 9.0168 0.0000
0.0000 0.0000 4.5665

=====

! CuRuCl2 PBE optimized geometry; values from VASP
! formation energy (no corrections)	358	meV/atom
! offset from the most stable computed form	0.3269	eV per atom
! E_tot	-3.908	eV/atom
! space group	R-3m, No. 166
! N(E_F)	2.5	states/eV per cell
&SYSTEM
  ibrav = 0, nat = 4, ntyp = 3
/
ATOMIC_SPECIES
Cu 63.55 Cu.upf
Ru 101.07 Ru.upf
Cl 35.45 Cl.upf
ATOMIC_POSITIONS angstrom
Cu 0.0000 0.0000 0.0000
Ru 0.0000 0.0000 10.8420
Cl 0.0000 0.0000 5.5769
Cl 0.0000 0.0000 16.1070
CELL_PARAMETERS angstrom
1.6450 0.9497 7.2280
-1.6450 0.9497 7.2280
0.0000 -1.8994 7.2280

=====

! Pr5ZrPb4 PBE optimized geometry; values from VASP
! E_tot	-4.897	eV/atom
! space group	C2/m, No. 12
! N(E_F)	9.7	states/eV per cell
! ΔE_f	-163.5	kJ/mol of formula units
&SYSTEM
  ibrav = 0, nat = 10, ntyp = 3
/
ATOMIC_SPECIES
Pr 140.91 Pr.upf
Zr 91.22 Zr.upf
Pb 207.20 Pb.upf
ATOMIC_POSITIONS angstrom
Pr 0.0000 0.0000 0.0000
Pr 6.1536 0.0000 1.0842
Pr 4.7172 0.0000 5.9192
Pr 12.3285 0.0000 2.7089
Pr 10.8921 0.0000 7.5439
Zr -1.3254 0.0000 4.3140
Pb 1.6296 0.0000 5.0985
Pb 9.1199 0.0000 2.2894
Pb 7.9258 0.0000 6.3387
Pb 15.4161 0.0000 3.5296
CELL_PARAMETERS angstrom
9.8482 -2.0663 0.0000
9.8482 2.0663 0.0000
-2.6507 0.0000 8.6281

=====

! Ba3Ag4Au4 PBE optimized geometry; values from VASP
! E_tot	-3.210	eV/atom
! space group	P-1, No. 2
! N(E_F)	2.8	states/eV per cell
! ΔE_f	-485.1	kJ/mol of formula units
&SYSTEM
  ibrav = 0, nat = 11, ntyp = 3
/
ATOMIC_SPECIES
Ba 137.33 Ba.upf
Ag 107.87 Ag.upf
Au 196.97 Au.upf
ATOMIC_POSITIONS angstrom
Ba 0.0000 0.0000 0.0000
Ba 2.1974 4.7022 10.3635
Ba 4.3828 2.3513 4.4231
Ag 2.1998 2.3524 7.3145
Ag 2.1867 4.7121 2.9034
Ag 4.3936 2.3414 11.8833
Ag 4.3805 4.7012 7.4721
Au 2.1856 4.7118 5.6711
Au 2.1961 2.3516 1.4162
Au 4.3842 4.7019 13.3705
Au 4.3947 2.3417 9.1156
CELL_PARAMETERS angstrom
4.3904 0.0000 0.0000
0.0011 4.7198 0.0000
2.1887 2.3337 14.7866

=====

! TbHoTlPt PBE optimized geometry; values from VASP
! E_tot	-5.098	eV/atom
! space group	F-43m, No. 216
! N(E_F)	3.5	states/eV per cell
! ΔE_f	-268.0	kJ/mol of formula units
&SYSTEM
  ibrav = 0, nat = 4, ntyp = 4
/
ATOMIC_SPECIES
Tb 158.93 Tb.upf
Ho 164.93 Ho.upf
Tl 204.38 Tl.upf
Pt 195.08 Pt.upf
ATOMIC_POSITIONS angstrom
Tb 0.0000 0.0000 0.0000
Ho 3.6415 3.6415 3.6415
Tl 1.8208 1.8208 1.8208
Pt 5.4623 5.4623 5.4623
CELL_PARAMETERS angstrom
0.0000 3.6415 3.6415
3.6415 0.0000 3.6415
3.6415 3.6415 0.0000

=====

! RbPIr2 PBE optimized geometry; values from VASP
! E_tot	-6.141	eV/atom
! space group	P1, No. 1
! N(E_F)	4.1	states/eV per cell
! ΔE_f	-44.7	kJ/mol of formula units
&SYSTEM
  ibrav = 0, nat = 8, ntyp = 3
/
ATOMIC_SPECIES
Rb 85.47 Rb.upf
P 30.97 P.upf
Ir 192.22 Ir.upf
ATOMIC_POSITIONS angstrom
Rb 0.0000 0.0000 0.0000
Rb 1.0142 1.8737 5.7885
P 1.3673 3.6480 1.6242
P 3.4018 4.0416 4.6381
Ir 0.3284 1.8725 2.6953
Ir -0.2316 4.6957 3.0933
Ir 3.5655 0.0786 3.1206
Ir 2.9952 2.6158 2.9381
CELL_PARAMETERS angstrom
5.1507 0.0000 0.0000
-1.3046 5.2482 0.0000
-0.7684 -0.9218 8.1729

=====

! MgCdNi PBE optimized geometry; values from VASP
! offset from the most stable computed form	0.0455	eV per atom
! E_tot	-2.829	eV/atom
! space group	Pmma, No. 51
! N(E_F)	3.9	states/eV per cell
! ΔE_f	-18.8	kJ/mol of formula units
&SYSTEM
  ibrav = 0, nat = 6, ntyp = 3
/
ATOMIC_SPECIES
Mg 24.30 Mg.upf
Cd 112.41 Cd.upf
Ni 58.69 Ni.upf
ATOMIC_POSITIONS angstrom
Mg 1.0275 0.0000 1.4821
Mg 3.0825 0.0000 7.3008
Cd 1.0275 1.5017 5.4309
Cd 3.0825 1.5017 3.3521
Ni 1.0275 1.5017 8.0841
Ni 3.0825 1.5017 0.6989
CELL_PARAMETERS angstrom
4.1101 0.0000 0.0000
0.0000 3.0034 0.0000
0.0000 0.0000 8.7829